Below is a relaxed structure of MgTlCdBi, with properties calculated at the PBE-GGA level.

abc: 5.3805 5.3805 5.3805
angles: 60.00 60.00 60.00
Sites, in units of the cell vectors:
Mg (0.0000, 0.0000, 0.0000)
Tl (0.7500, 0.7500, 0.7500)
Cd (0.5000, 0.5000, 0.5000)
Bi (0.2500, 0.2500, 0.2500)

Output
Calculated formation energy in eV per atom: -0.0096
Size of the total moment in Bohr magnetons per cell: 0.000
VASP energy in eV per atom: -2.199
E above lowest polymorph in meV/atom: 48